one.
Density functional theory data (PBE) for an optimized crystal structure of NaBe3Zn. Values from VASP.

```
&SYSTEM
  ibrav = 0, nat = 5, ntyp = 3
/
ATOMIC_SPECIES
Na 22.99 Na.upf
Be 9.01 Be.upf
Zn 65.41 Zn.upf
CELL_PARAMETERS angstrom
4.262 0.000 0.000
0.000 4.262 0.000
0.000 0.000 4.262
ATOMIC_POSITIONS angstrom
Na 0.000 0.000 0.000
Be 0.000 2.131 2.131
Be 2.131 0.000 2.131
Be 2.131 2.131 0.000
Zn 2.131 2.131 2.131
```

two.
Density functional theory data (PBE) for an optimized crystal structure of NaBe3Zn. Values from VASP.

```
&SYSTEM
  ibrav = 0, nat = 5, ntyp = 3
/
ATOMIC_SPECIES
Na 22.99 Na.upf
Be 9.01 Be.upf
Zn 65.41 Zn.upf
CELL_PARAMETERS angstrom
4.429 0.000 0.000
0.000 4.429 0.000
0.000 0.000 4.429
ATOMIC_POSITIONS angstrom
Na 0.000 0.000 0.000
Be 0.000 0.000 2.215
Be 0.000 2.215 0.000
Be 2.215 0.000 0.000
Zn 2.215 2.215 2.215
```

Which structure is the most stable? The one labeled one.

one.
Density functional theory data (PBE) for an optimized crystal structure of Na2BeZn. Values from VASP.

```
&SYSTEM
  ibrav = 0, nat = 8, ntyp = 3
/
ATOMIC_SPECIES
Na 22.99 Na.upf
Be 9.01 Be.upf
Zn 65.41 Zn.upf
CELL_PARAMETERS angstrom
-5.136 5.136 2.193
5.136 -5.136 2.193
5.136 5.136 -2.193
ATOMIC_POSITIONS angstrom
Na -0.973 2.568 0.548
Na 2.568 4.163 1.645
Na 0.973 7.704 0.548
Na -2.568 6.108 1.645
Be 0.000 0.000 0.000
Be 0.000 5.136 1.097
Zn 5.136 0.000 1.097
Zn 0.000 0.000 2.193
```

two.
Density functional theory data (PBE) for an optimized crystal structure of Na2BeZn. Values from VASP.

```
&SYSTEM
  ibrav = 0, nat = 4, ntyp = 3
/
ATOMIC_SPECIES
Na 22.99 Na.upf
Be 9.01 Be.upf
Zn 65.41 Zn.upf
CELL_PARAMETERS angstrom
0.000 3.495 3.495
3.495 0.000 3.495
3.495 3.495 0.000
ATOMIC_POSITIONS angstrom
Na 1.748 1.748 1.748
Na 5.243 5.243 5.243
Be 0.000 0.000 0.000
Zn 3.495 3.495 3.495
```

Which structure is the most stable? The one labeled one.

one.
Density functional theory data (PBE) for an optimized crystal structure of NaZrBe2. Values from VASP.

```
&SYSTEM
  ibrav = 0, nat = 8, ntyp = 3
/
ATOMIC_SPECIES
Na 22.99 Na.upf
Zr 91.22 Zr.upf
Be 9.01 Be.upf
CELL_PARAMETERS angstrom
-3.541 3.541 2.812
3.541 -3.541 2.812
3.541 3.541 -2.812
ATOMIC_POSITIONS angstrom
Na 0.000 0.000 0.000
Na 0.000 3.541 1.406
Zr 3.541 0.000 1.406
Zr 0.000 0.000 2.812
Be 1.770 -1.758 2.109
Be 1.783 1.770 0.703
Be 1.770 5.299 -0.703
Be 1.758 1.770 3.515
```

two.
Density functional theory data (PBE) for an optimized crystal structure of NaZrBe2. Values from VASP.

```
&SYSTEM
  ibrav = 0, nat = 4, ntyp = 3
/
ATOMIC_SPECIES
Na 22.99 Na.upf
Zr 91.22 Zr.upf
Be 9.01 Be.upf
CELL_PARAMETERS angstrom
0.000 3.176 3.176
3.176 0.000 3.176
3.176 3.176 0.000
ATOMIC_POSITIONS angstrom
Na 0.000 0.000 0.000
Zr 3.176 3.176 3.176
Be 1.588 1.588 1.588
Be 4.764 4.764 4.764
```

Which structure is the most stable? The one labeled two.

one.
Density functional theory data (PBE) for an optimized crystal structure of NaZr3Be. Values from VASP.

```
&SYSTEM
  ibrav = 0, nat = 5, ntyp = 3
/
ATOMIC_SPECIES
Na 22.99 Na.upf
Zr 91.22 Zr.upf
Be 9.01 Be.upf
CELL_PARAMETERS angstrom
4.869 0.000 0.000
0.000 4.869 0.000
0.000 0.000 4.869
ATOMIC_POSITIONS angstrom
Na 0.000 0.000 0.000
Zr 0.000 2.435 2.435
Zr 2.435 0.000 2.435
Zr 2.435 2.435 0.000
Be 2.435 2.435 2.435
```

two.
Density functional theory data (PBE) for an optimized crystal structure of NaZr3Be. Values from VASP.

```
&SYSTEM
  ibrav = 0, nat = 5, ntyp = 3
/
ATOMIC_SPECIES
Na 22.99 Na.upf
Zr 91.22 Zr.upf
Be 9.01 Be.upf
CELL_PARAMETERS angstrom
4.927 0.000 0.000
0.000 4.927 0.000
0.000 0.000 4.927
ATOMIC_POSITIONS angstrom
Na 0.000 0.000 0.000
Zr 0.000 0.000 2.464
Zr 0.000 2.464 0.000
Zr 2.464 0.000 0.000
Be 2.464 2.464 2.464
```

Which structure is the most stable? The one labeled one.

one.
Density functional theory data (PBE) for an optimized crystal structure of BeNb4. Values from VASP.

```
&SYSTEM
  ibrav = 0, nat = 10, ntyp = 2
/
ATOMIC_SPECIES
Be 9.01 Be.upf
Nb 92.91 Nb.upf
CELL_PARAMETERS angstrom
0.000 4.528 4.528
4.528 0.000 4.528
4.528 4.528 0.000
ATOMIC_POSITIONS angstrom
Be 1.132 1.132 1.132
Be 7.923 7.923 7.923
Nb 2.400 2.400 2.400
Nb 4.391 4.391 2.400
Nb 4.391 2.400 4.391
Nb 6.655 4.664 4.664
Nb 2.400 4.391 4.391
Nb 4.664 6.655 4.664
Nb 4.664 4.664 6.655
Nb 6.655 6.655 6.655
```

two.
Density functional theory data (PBE) for an optimized crystal structure of BeNb4. Values from VASP.

```
&SYSTEM
  ibrav = 0, nat = 5, ntyp = 2
/
ATOMIC_SPECIES
Be 9.01 Be.upf
Nb 92.91 Nb.upf
CELL_PARAMETERS angstrom
4.464 0.000 0.000
0.000 4.464 0.000
0.000 0.000 4.464
ATOMIC_POSITIONS angstrom
Be 0.000 0.000 0.000
Nb 0.000 0.000 2.232
Nb 0.000 2.232 0.000
Nb 2.232 0.000 0.000
Nb 2.232 2.232 2.232
```

Which structure is the most stable? The one labeled two.

one.
Density functional theory data (PBE) for an optimized crystal structure of BeNbNi. Values from VASP.

```
&SYSTEM
  ibrav = 0, nat = 3, ntyp = 3
/
ATOMIC_SPECIES
Be 9.01 Be.upf
Nb 92.91 Nb.upf
Ni 58.69 Ni.upf
CELL_PARAMETERS angstrom
4.023 0.000 0.000
-2.012 3.484 0.000
0.000 0.000 2.666
ATOMIC_POSITIONS angstrom
Be 0.000 0.000 0.000
Nb 2.012 1.161 1.333
Ni 0.000 2.323 0.000
```

two.
Density functional theory data (PBE) for an optimized crystal structure of BeNbNi. Values from VASP.

```
&SYSTEM
  ibrav = 0, nat = 18, ntyp = 3
/
ATOMIC_SPECIES
Be 9.01 Be.upf
Nb 92.91 Nb.upf
Ni 58.69 Ni.upf
CELL_PARAMETERS angstrom
6.200 0.000 0.000
0.000 3.339 0.000
-0.054 0.000 10.616
ATOMIC_POSITIONS angstrom
Be 1.384 0.835 2.660
Be 1.615 2.504 9.748
Be 1.639 0.835 6.175
Be 4.508 2.504 4.441
Be 4.532 0.835 0.867
Be 4.762 2.504 7.955
Nb 0.165 2.504 1.238
Nb 0.905 2.504 4.476
Nb 2.917 0.835 8.381
Nb 3.229 2.504 2.235
Nb 5.241 0.835 6.139
Nb 5.981 0.835 9.378
Ni 0.855 2.504 7.486
Ni 2.227 0.835 0.460
Ni 3.042 0.835 4.323
Ni 3.105 2.504 6.293
Ni 3.920 2.504 10.156
Ni 5.292 0.835 3.129
```

three.
Density functional theory data (PBE) for an optimized crystal structure of BeNbNi. Values from VASP.

```
&SYSTEM
  ibrav = 0, nat = 3, ntyp = 3
/
ATOMIC_SPECIES
Be 9.01 Be.upf
Nb 92.91 Nb.upf
Ni 58.69 Ni.upf
CELL_PARAMETERS angstrom
-1.377 1.377 4.861
1.377 -1.377 4.861
1.377 1.377 -4.861
ATOMIC_POSITIONS angstrom
Be 0.000 0.000 0.000
Nb 0.000 0.000 6.697
Ni 0.000 0.000 3.761
```

Which structure is the most stable? The one labeled two.